# 1
The following is a DFT calculation (PBE) of an optimized crystal structure of KMnTl2.

The structure in POSCAR format:
```
KMnTl2
1.0
0.000 3.810 3.810
3.810 0.000 3.810
3.810 3.810 0.000
Tl K Mn
2 1 1
Cartesian
1.905 1.905 1.905
5.715 5.715 5.715
0.000 0.000 0.000
3.810 3.810 3.810
```

- D(E_F): 1.41 states/eV/f.u.
- E_form: 370.8 meV/atom
- E_tot: -13.52 eV/cell
- Symmetry: Fm-3m (225)

***

# 2
The following is a DFT calculation (PBE) of an optimized crystal structure of KMnTl.

The structure in POSCAR format:
```
KMnTl
1.0
-4.972 -2.421 4.166
-6.282 -2.858 0.549
0.568 -3.822 0.256
Tl Mn K
1 1 1
Cartesian
-7.995 -4.878 3.486
-2.660 -4.220 1.474
0.537 -3.826 0.268
```

- D(E_F): 2.92 states/eV/f.u.
- E_form: 448.1 meV/atom
- E_tot: -11.29 eV/cell
- Symmetry: I4mm (107)

***

# 3
The following is a DFT calculation (PBE) of an optimized crystal structure of KMnTl2.

The structure in POSCAR format:
```
KMnTl2
1.0
-3.623 -3.755 -6.854
-5.008 -6.636 -2.255
2.238 7.065 4.390
Tl Mn K
2 1 1
Cartesian
-2.874 -0.970 -3.534
-0.723 -0.871 -0.763
-3.344 -2.144 -1.000
-3.768 -4.535 -3.976
```

- D(E_F): 2.86 states/eV/f.u.
- E_form: 299.7 meV/atom
- E_tot: -13.80 eV/cell
- Symmetry: Imm2 (44)

***

# 4
The following is a DFT calculation (PBE) of an optimized crystal structure of KMnTl2.

The structure in POSCAR format:
```
KMnTl2
1.0
5.939 -0.288 0.000
2.186 5.530 0.000
-4.063 -2.621 3.462
Mn Tl K
1 2 1
Cartesian
2.970 -0.144 1.731
0.000 0.000 0.000
1.093 2.765 1.731
4.062 2.621 0.000
```

- D(E_F): 2.57 states/eV/f.u.
- E_form: 457.4 meV/atom
- E_tot: -13.17 eV/cell
- Symmetry: I-4m2 (119)

***

# 5
The following is a DFT calculation (PBE) of an optimized crystal structure of KMn3Tl.

The structure in POSCAR format:
```
KMn3Tl
1.0
5.310 0.000 0.000
0.000 5.310 0.000
0.000 0.000 5.310
Mn K Tl
3 1 1
Cartesian
0.000 2.655 0.000
0.000 0.000 2.655
2.655 0.000 0.000
2.655 2.655 2.655
0.000 0.000 0.000
```

- D(E_F): 4.89 states/eV/f.u.
- E_form: 1095.9 meV/atom
- E_tot: -25.49 eV/cell
- Symmetry: Pm-3m (221)

***

# 6
The following is a DFT calculation (PBE) of an optimized crystal structure of KYMn2Tl.

The structure in POSCAR format:
```
KYMn2Tl
1.0
-3.637 3.632 -0.993
0.842 -0.710 -5.683
-3.687 -3.715 -0.083
Mn K Tl Y
2 1 1 1
Cartesian
-1.819 1.816 -0.496
-1.844 -1.858 -0.041
0.421 -0.355 -2.841
0.000 0.000 0.000
-3.241 -0.397 -3.379
```

- D(E_F): 5.82 states/eV/f.u.
- E_form: 1067.8 meV/atom
- E_tot: -22.93 eV/cell
- Symmetry: P4/mmm (123)

***

# 7
The following is a DFT calculation (PBE) of an optimized crystal structure of KZrMnTl2.

The structure in POSCAR format:
```
KZrMnTl2
1.0
5.334 0.000 0.000
0.000 4.678 0.000
0.000 0.000 5.334
Zr K Tl Mn
1 1 2 1
Cartesian
0.000 2.339 0.000
2.667 2.339 2.667
2.667 0.000 0.000
0.000 0.000 2.667
0.000 0.000 0.000
```

- D(E_F): 2.28 states/eV/f.u.
- E_form: 321.6 meV/atom
- E_tot: -21.94 eV/cell
- Symmetry: P4/mmm (123)

***

# 8
The following is a DFT calculation (PBE) of an optimized crystal structure of K2MnV2.

The structure in POSCAR format:
```
K2MnV2
1.0
4.178 0.000 0.000
0.000 4.178 0.000
2.089 2.089 7.494
K V Mn
2 2 1
Cartesian
2.089 4.178 3.747
4.178 2.089 3.747
4.178 4.178 6.587
2.089 2.089 0.907
0.000 0.000 0.000
```

- D(E_F): 3.51 states/eV/f.u.
- E_form: 1310.1 meV/atom
- E_tot: -23.05 eV/cell
- Symmetry: I4/mmm (139)

***

# 9
The following is a DFT calculation (PBE) of an optimized crystal structure of KMn2V.

The structure in POSCAR format:
```
KMn2V
1.0
0.000 3.423 3.423
3.423 0.000 3.423
3.423 3.423 0.000
K V Mn
1 1 2
Cartesian
0.000 0.000 0.000
3.423 3.423 3.423
5.134 5.134 5.134
1.711 1.711 1.711
```

- D(E_F): 4.09 states/eV/f.u.
- E_form: 1146.1 meV/atom
- E_tot: -23.97 eV/cell
- Symmetry: Fm-3m (225)

***

# 10
The following is a DFT calculation (PBE) of an optimized crystal structure of KMnV3.

The structure in POSCAR format:
```
KMnV3
1.0
4.300 0.000 0.000
0.000 4.300 0.000
0.000 0.000 4.300
Mn V K
1 3 1
Cartesian
2.150 2.150 2.150
0.000 2.150 0.000
0.000 0.000 2.150
2.150 0.000 0.000
0.000 0.000 0.000
```

- D(E_F): 5.07 states/eV/f.u.
- E_form: 2476.1 meV/atom
- E_tot: -25.24 eV/cell
- Symmetry: Pm-3m (221)

***

# 11
The following is a DFT calculation (PBE) of an optimized crystal structure of KMn2V.

The structure in POSCAR format:
```
KMn2V
1.0
5.401 0.000 0.000
0.000 5.401 0.000
2.700 2.700 7.884
K Mn V
2 4 2
Cartesian
2.700 2.700 0.000
2.700 5.401 3.942
4.051 2.700 5.913
5.401 1.350 1.971
6.751 2.700 5.913
5.401 4.051 1.971
0.000 0.000 0.000
5.401 2.700 3.942
```

- D(E_F): 3.34 states/eV/f.u.
- E_form: 1171.0 meV/atom
- E_tot: -47.74 eV/cell
- Symmetry: I4_1/amd (141)

***

# 12
The following is a DFT calculation (PBE) of an optimized crystal structure of K2MnV2.

The structure in POSCAR format:
```
K2MnV2
1.0
6.231 0.000 0.000
0.000 6.231 0.000
0.000 0.000 6.275
K Mn V
4 2 4
Cartesian
5.083 1.967 3.137
4.264 5.083 3.137
1.967 1.148 3.137
1.148 4.264 3.137
3.116 3.116 0.000
0.000 0.000 0.000
4.136 1.020 0.000
5.211 4.136 0.000
2.095 5.211 0.000
1.020 2.095 0.000
```

- D(E_F): 3.73 states/eV/f.u.
- E_form: 998.4 meV/atom
- E_tot: -49.22 eV/cell
- Symmetry: P4/mbm (127)